Record 1
Crystalline Ag8AuO6 at its relaxed geometry. Source: Alexandria via LeMat-Bulk, functional PBE.

Unit cell a=6.2742 b=6.2742 c=6.2742 alpha=100.90 beta=100.90 gamma=100.90
Fractional positions:
Ag1 0.0746 0.5886 0.2835
Ag2 0.1634 0.1634 0.1634
Ag3 0.2835 0.0746 0.5886
Ag4 0.4114 0.7165 0.9254
Ag5 0.5886 0.2835 0.0746
Ag6 0.7165 0.9254 0.4114
Ag7 0.8366 0.8366 0.8366
Ag8 0.9254 0.4114 0.7165
Au1 0.5000 0.5000 0.5000
O1 0.1197 0.7250 0.7037
O2 0.2750 0.2963 0.8803
O3 0.2963 0.8803 0.2750
O4 0.7037 0.1197 0.7250
O5 0.7250 0.7037 0.1197
O6 0.8803 0.2750 0.2963

Results
Uncorrected formation energy = 0.07 eV/atom


Record 2
Crystalline Mn3AlV2 at its relaxed geometry. Source: Alexandria via LeMat-Bulk, functional PBE.

Unit cell a=6.4461 b=6.4461 c=2.9225 alpha=90.00 beta=90.00 gamma=143.02
Fractional positions:
Mn1 0.0000 0.0000 0.0000
Mn2 0.3282 0.6718 0.0000
Mn3 0.6718 0.3282 0.0000
Al1 0.5000 0.5000 0.5000
V1 0.1627 0.8373 0.5000
V2 0.8373 0.1627 0.5000

Results
Formation energy = -0.28 eV per atom
E above lowest polymorph = 0.000 eV/atom


Record 3
Crystalline La5CdHg4 at its relaxed geometry. Source: Alexandria via LeMat-Bulk, functional PBE.

Unit cell a=3.9286 b=3.9286 c=19.4691 alpha=90.00 beta=90.00 gamma=90.00
Fractional positions:
La1 0.0000 0.0000 0.0000
La2 0.0000 0.0000 0.1991
La3 0.0000 0.0000 0.3986
La4 0.0000 0.0000 0.6014
La5 0.0000 0.0000 0.8009
Cd1 0.5000 0.5000 0.5000
Hg1 0.5000 0.5000 0.0997
Hg2 0.5000 0.5000 0.3004
Hg3 0.5000 0.5000 0.6996
Hg4 0.5000 0.5000 0.9003

Results
Formation energy = -0.47 eV per atom


Record 4
Crystalline CaNd3Mn at its relaxed geometry. Source: Alexandria via LeMat-Bulk, functional PBE.

Unit cell a=5.4960 b=5.4960 c=5.4960 alpha=90.00 beta=90.00 gamma=90.00
Fractional positions:
Ca1 0.0000 0.0000 0.0000
Nd1 0.0000 0.5000 0.5000
Nd2 0.5000 0.0000 0.5000
Nd3 0.5000 0.5000 0.0000
Mn1 0.5000 0.5000 0.5000

Results
Formation energy = 0.21 eV per atom


Record 5
Crystalline IrRuW at its relaxed geometry. Source: Alexandria via LeMat-Bulk, functional PBE.

Unit cell a=6.1577 b=6.1577 c=6.1577 alpha=154.08 beta=154.08 gamma=36.99
Fractional positions:
Ir1 0.0000 0.0000 0.0000
Ru1 0.6671 0.6671 0.0000
W1 0.3322 0.3322 0.0000

Results
Formation energy = -0.05 eV per atom
E above lowest polymorph = 0.110 eV/atom


Record 6
Crystalline Ce2Y12Ho5 at its relaxed geometry. Source: Alexandria via LeMat-Bulk, functional PBE.

Unit cell a=11.7166 b=11.7166 c=8.6577 alpha=111.01 beta=111.01 gamma=34.36
Fractional positions:
Ce1 0.1952 0.8048 0.0000
Ce2 0.8048 0.1952 0.0000
Y1 0.0427 0.5507 0.2111
Y2 0.0517 0.0517 0.6909
Y3 0.1372 0.6526 0.6254
Y4 0.3474 0.8628 0.3746
Y5 0.3633 0.3633 0.9621
Y6 0.4493 0.9573 0.7889
Y7 0.5507 0.0427 0.2111
Y8 0.6367 0.6367 0.0379
Y9 0.6526 0.1372 0.6254
Y10 0.8628 0.3474 0.3746
Y11 0.9483 0.9483 0.3091
Y12 0.9573 0.4493 0.7889
Ho1 0.1533 0.1533 0.0898
Ho2 0.2523 0.2523 0.5093
Ho3 0.5000 0.5000 0.5000
Ho4 0.7477 0.7477 0.4907
Ho5 0.8467 0.8467 0.9102

Results
Formation energy = 0.16 eV per atom


Record 7
Crystalline SrTeOs2 at its relaxed geometry. Source: Alexandria via LeMat-Bulk, functional PBE.

Unit cell a=3.0832 b=5.0512 c=5.2251 alpha=90.00 beta=90.00 gamma=90.00
Fractional positions:
Sr1 0.0000 0.0000 0.0000
Te1 0.5000 0.5000 0.0000
Os1 0.0000 0.5000 0.5000
Os2 0.5000 0.0000 0.5000

Results
Uncorrected formation energy = 0.97 eV/atom
E above lowest polymorph = 0.870 eV/atom


Record 8
Crystalline LaTlCu2 at its relaxed geometry. Source: Alexandria via LeMat-Bulk, functional PBE.

Unit cell a=5.1552 b=5.1552 c=5.1552 alpha=129.33 beta=117.42 gamma=84.59
Fractional positions:
La1 0.0000 0.0000 0.0000
Tl1 0.2944 0.7944 0.5000
Cu1 0.5573 0.5573 0.0000
Cu2 0.7054 0.2054 0.5000

Results
Formation energy = -0.02 eV per atom


Record 9
Crystalline ReTc at its relaxed geometry. Source: Alexandria via LeMat-Bulk, functional PBE.

Unit cell a=9.1549 b=9.1549 c=9.1549 alpha=17.32 beta=17.32 gamma=17.32
Fractional positions:
Re1 0.1245 0.1245 0.1245
Re2 0.8755 0.8755 0.8755
Tc1 0.3750 0.3750 0.3750
Tc2 0.6250 0.6250 0.6250

Results
Formation energy = 0.07 eV per atom
E above lowest polymorph = 0.073 eV/atom


Record 10
Crystalline PmSm3Bi4 at its relaxed geometry. Source: Alexandria via LeMat-Bulk, functional PBE.

Unit cell a=7.9032 b=7.9032 c=4.5658 alpha=90.00 beta=90.00 gamma=109.47
Fractional positions:
Pm1 0.0000 0.0000 0.0000
Sm1 0.0000 0.5000 0.5000
Sm2 0.5000 0.0000 0.5000
Sm3 0.5000 0.5000 0.0000
Bi1 0.2504 0.7496 0.0000
Bi2 0.2509 0.2509 0.5000
Bi3 0.7491 0.7491 0.5000
Bi4 0.7496 0.2504 0.0000

Results
Formation energy = -0.93 eV per atom
E above lowest polymorph = 0.006 eV/atom


Record 11
Crystalline FeCo2Os at its relaxed geometry. Source: Alexandria via LeMat-Bulk, functional PBE.

Unit cell a=4.4053 b=4.4053 c=4.4077 alpha=99.71 beta=99.71 gamma=34.08
Fractional positions:
Fe1 0.0000 0.0000 0.0000
Co1 0.2505 0.2505 0.7511
Co2 0.7495 0.7495 0.2489
Os1 0.5000 0.5000 0.5000

Results
Formation energy = 0.13 eV per atom
E above lowest polymorph = 0.032 eV/atom


Record 12
Crystalline CsDyPbSe3 at its relaxed geometry. Source: Alexandria via LeMat-Bulk, functional PBE.

Unit cell a=9.2061 b=9.2061 c=12.1680 alpha=90.00 beta=90.00 gamma=153.60
Fractional positions:
Cs1 0.1885 0.8115 0.7500
Cs2 0.8115 0.1885 0.2500
Dy1 0.5000 0.5000 0.0000
Dy2 0.5000 0.5000 0.5000
Pb1 0.1004 0.8996 0.2500
Pb2 0.8996 0.1004 0.7500
Se1 0.1082 0.8918 0.0057
Se2 0.1082 0.8918 0.4943
Se3 0.4928 0.5072 0.2500
Se4 0.5072 0.4928 0.7500
Se5 0.8918 0.1082 0.5057
Se6 0.8918 0.1082 0.9943

Results
Uncorrected formation energy = -1.21 eV/atom


Record 13
Crystalline HfReIr2W at its relaxed geometry. Source: Alexandria via LeMat-Bulk, functional PBE.

Unit cell a=4.6622 b=4.6622 c=4.9275 alpha=90.00 beta=90.00 gamma=90.00
Fractional positions:
Hf1 0.0000 0.0000 0.0000
Re1 0.5000 0.5000 0.0000
Ir1 0.0000 0.5000 0.5000
Ir2 0.5000 0.0000 0.5000
W1 0.0000 0.0000 0.5000

Results
Formation energy = 1.86 eV per atom


Record 14
Crystalline CrReTc at its relaxed geometry. Source: Alexandria via LeMat-Bulk, functional PBE.

Unit cell a=4.6685 b=4.6685 c=4.6685 alpha=146.11 beta=131.89 gamma=60.14
Fractional positions:
Cr1 0.0000 0.0000 0.0000
Re1 0.6656 0.6656 0.0000
Tc1 0.3366 0.3366 0.0000

Results
Formation energy = 0.15 eV per atom
E above lowest polymorph = 0.053 eV/atom


The evaluated magnetic moment for the records listed, in turn: 0.000 0.314 0.188 0.141 0.000 0.098 0.334 0.000 0.000 0.000 0.926 0.000 0.378 0.000 μB/atom.
The evaluated calculated volume for the records listed, in turn: 15.44 12.17 30.05 33.20 14.85 32.73 20.34 22.52 14.84 33.61 11.79 38.21 21.42 13.95 Å³ per atom.